! FeAsSe2S | the Alexandria database | PBE-GGA | optimized geometry; values from VASP
&SYSTEM
  ibrav = 0, nat = 5, ntyp = 4
/
ATOMIC_SPECIES
Fe 55.84 Fe.upf
As 74.92 As.upf
Se 78.96 Se.upf
S 32.06 S.upf
CELL_PARAMETERS angstrom
4.787 0.000 0.000
0.000 4.787 0.000
0.000 0.000 4.829
ATOMIC_POSITIONS crystal
Fe 0.000 0.000 0.000
As 0.500 0.500 0.000
Se 0.000 0.500 0.500
Se 0.500 0.000 0.500
S 0.500 0.500 0.500
! Formation energy without anion corrections: 90.6 kJ/mol of atoms
! Crystal system: tetragonal
! Fermi-level density of states: 1.250 states/eV/atom
! SG: P4/mmm (123)

---

! MnS8 | the Alexandria database | PBE-GGA | optimized geometry; values from VASP
&SYSTEM
  ibrav = 0, nat = 9, ntyp = 2
/
ATOMIC_SPECIES
Mn 54.94 Mn.upf
S 32.06 S.upf
CELL_PARAMETERS angstrom
-3.586 3.586 4.208
3.586 -3.586 4.208
3.586 3.586 -4.208
ATOMIC_POSITIONS crystal
Mn 0.000 0.000 0.000
S 0.000 0.306 0.306
S 0.000 0.694 0.694
S 0.306 0.000 0.306
S 0.343 0.343 0.685
S 0.343 0.657 0.000
S 0.657 0.343 0.000
S 0.657 0.657 0.315
S 0.694 0.000 0.694
! Formation energy without anion corrections: 35.0 kJ/mol of atoms
! Crystal system: tetragonal
! Fermi-level density of states: 0.754 states/eV/atom
! SG: I4/mmm (139)

---

! CsTmCd17 | the Alexandria database | PBE-GGA | optimized geometry; values from VASP
&SYSTEM
  ibrav = 0, nat = 19, ntyp = 3
/
ATOMIC_SPECIES
Cs 132.91 Cs.upf
Tm 168.93 Tm.upf
Cd 112.41 Cd.upf
CELL_PARAMETERS angstrom
5.155 2.976 5.086
-5.155 2.976 5.086
0.000 -5.953 5.086
ATOMIC_POSITIONS crystal
Cs 0.000 0.000 0.000
Tm 0.664 0.664 0.664
Cd 0.041 0.341 0.629
Cd 0.041 0.629 0.341
Cd 0.218 0.686 0.686
Cd 0.249 0.249 0.249
Cd 0.319 0.319 0.858
Cd 0.319 0.858 0.319
Cd 0.341 0.041 0.629
Cd 0.341 0.629 0.041
Cd 0.447 0.447 0.447
Cd 0.535 0.952 0.952
Cd 0.629 0.041 0.341
Cd 0.629 0.341 0.041
Cd 0.686 0.218 0.686
Cd 0.686 0.686 0.218
Cd 0.858 0.319 0.319
Cd 0.952 0.535 0.952
Cd 0.952 0.952 0.535
! Crystal system: trigonal
! Fermi-level density of states: 0.408 states/eV/atom
! SG: R3m (160)
! Uncorrected energy: -0.08341 Ry/atom

---

! GaBrCl3 | the Alexandria database | PBE-GGA | optimized geometry; values from VASP
&SYSTEM
  ibrav = 0, nat = 5, ntyp = 3
/
ATOMIC_SPECIES
Ga 69.72 Ga.upf
Br 79.90 Br.upf
Cl 35.45 Cl.upf
CELL_PARAMETERS angstrom
4.912 0.000 0.000
0.000 4.912 0.000
0.000 0.000 4.912
ATOMIC_POSITIONS crystal
Ga 0.000 0.000 0.000
Br 0.500 0.500 0.500
Cl 0.000 0.000 0.500
Cl 0.000 0.500 0.000
Cl 0.500 0.000 0.000
! Formation energy without anion corrections: -30.4 kJ/mol of atoms
! Crystal system: cubic
! Fermi-level density of states: 1.424 states/eV/atom
! SG: Pm-3m (221)

---

! CoOsSe2 | the Alexandria database | PBE-GGA | optimized geometry; values from VASP
&SYSTEM
  ibrav = 0, nat = 8, ntyp = 3
/
ATOMIC_SPECIES
Co 58.93 Co.upf
Os 190.23 Os.upf
Se 78.96 Se.upf
CELL_PARAMETERS angstrom
7.577 0.000 0.000
0.000 3.099 0.000
-1.243 0.000 5.263
ATOMIC_POSITIONS crystal
Co 0.000 0.000 0.000
Co 0.500 0.500 0.000
Os 0.000 0.500 0.500
Os 0.500 0.000 0.500
Se 0.249 0.000 0.752
Se 0.251 0.500 0.248
Se 0.749 0.500 0.752
Se 0.751 0.000 0.248
! Formation energy without anion corrections: 42.2 kJ/mol of atoms
! Crystal system: monoclinic
! Fermi-level density of states: 0.735 states/eV/atom
! SG: C2/m (12)

---

! SmErZn2 | the Alexandria database | PBE-GGA | optimized geometry; values from VASP
&SYSTEM
  ibrav = 0, nat = 12, ntyp = 3
/
ATOMIC_SPECIES
Sm 150.36 Sm.upf
Er 167.26 Er.upf
Zn 65.41 Zn.upf
CELL_PARAMETERS angstrom
3.608 0.000 0.000
-1.804 3.124 0.000
0.000 0.000 27.026
ATOMIC_POSITIONS crystal
Sm 0.000 0.000 0.000
Sm 0.333 0.667 0.667
Sm 0.667 0.333 0.333
Er 0.000 0.000 0.500
Er 0.333 0.667 0.167
Er 0.667 0.333 0.833
Zn 0.000 0.000 0.247
Zn 0.000 0.000 0.753
Zn 0.333 0.667 0.419
Zn 0.333 0.667 0.914
Zn 0.667 0.333 0.086
Zn 0.667 0.333 0.581
! Crystal system: trigonal
! Fermi-level density of states: 1.254 states/eV/atom
! SG: R-3m (166)
! Uncorrected energy: -0.22548 Ry/atom

---

! Tc2MoW | the Alexandria database | PBE-GGA | optimized geometry; values from VASP
&SYSTEM
  ibrav = 0, nat = 12, ntyp = 3
/
ATOMIC_SPECIES
Tc 98.00 Tc.upf
Mo 95.94 Mo.upf
W 183.84 W.upf
CELL_PARAMETERS angstrom
2.765 0.000 0.000
-1.383 2.395 0.000
0.000 0.000 27.996
ATOMIC_POSITIONS crystal
Tc 0.000 0.000 0.000
Tc 0.000 0.000 0.256
Tc 0.333 0.667 0.667
Tc 0.333 0.667 0.922
Tc 0.667 0.333 0.333
Tc 0.667 0.333 0.589
Mo 0.000 0.000 0.506
Mo 0.333 0.667 0.172
Mo 0.667 0.333 0.839
W 0.000 0.000 0.751
W 0.333 0.667 0.417
W 0.667 0.333 0.084
! Crystal system: trigonal
! Fermi-level density of states: 1.120 states/eV/atom
! SG: R3m (160)
! Uncorrected energy: -0.80163 Ry/atom

---

! InTcNi2 | the Alexandria database | PBE-GGA | optimized geometry; values from VASP
&SYSTEM
  ibrav = 0, nat = 4, ntyp = 3
/
ATOMIC_SPECIES
In 114.82 In.upf
Tc 98.00 Tc.upf
Ni 58.69 Ni.upf
CELL_PARAMETERS angstrom
3.939 0.000 0.000
0.000 3.939 0.000
0.000 0.000 3.682
ATOMIC_POSITIONS crystal
In 0.000 0.000 0.000
Tc 0.500 0.500 0.000
Ni 0.000 0.500 0.500
Ni 0.500 0.000 0.500
! Crystal system: tetragonal
! Fermi-level density of states: 1.390 states/eV/atom
! SG: P4/mmm (123)
! Uncorrected energy: -0.43782 Ry/atom

---

! Sr4AlAg | the Alexandria database | PBE-GGA | optimized geometry; values from VASP
&SYSTEM
  ibrav = 0, nat = 6, ntyp = 3
/
ATOMIC_SPECIES
Sr 87.62 Sr.upf
Al 26.98 Al.upf
Ag 107.87 Ag.upf
CELL_PARAMETERS angstrom
0.000 4.986 4.986
4.986 0.000 4.986
4.986 4.986 0.000
ATOMIC_POSITIONS crystal
Sr 0.125 0.125 0.125
Sr 0.125 0.125 0.624
Sr 0.125 0.624 0.125
Sr 0.624 0.125 0.125
Al 0.500 0.500 0.500
Ag 0.750 0.750 0.750
! Crystal system: cubic
! Fermi-level density of states: 1.183 states/eV/atom
! SG: F-43m (216)
! Uncorrected energy: -0.12058 Ry/atom

---

! HoEr3Co2 | the Alexandria database | PBE-GGA | optimized geometry; values from VASP
&SYSTEM
  ibrav = 0, nat = 12, ntyp = 3
/
ATOMIC_SPECIES
Ho 164.93 Ho.upf
Er 167.26 Er.upf
Co 58.93 Co.upf
CELL_PARAMETERS angstrom
-3.242 6.539 3.422
3.242 -6.539 3.422
3.242 6.539 -3.422
ATOMIC_POSITIONS crystal
Ho 0.000 0.000 0.000
Ho 0.500 0.500 0.000
Er 0.015 0.250 0.765
Er 0.250 0.750 0.500
Er 0.485 0.250 0.235
Er 0.515 0.750 0.765
Er 0.750 0.250 0.500
Er 0.985 0.750 0.235
Co 0.136 0.720 0.856
Co 0.364 0.220 0.584
Co 0.636 0.780 0.416
Co 0.864 0.280 0.144
! Crystal system: orthorhombic
! Fermi-level density of states: 0.873 states/eV/atom
! SG: Ibam (72)
! Uncorrected energy: -0.40445 Ry/atom

---

! LaPrNd6Ho2 | the Alexandria database | PBE-GGA | optimized geometry; values from VASP
&SYSTEM
  ibrav = 0, nat = 20, ntyp = 4
/
ATOMIC_SPECIES
La 138.91 La.upf
Pr 140.91 Pr.upf
Nd 144.24 Nd.upf
Ho 164.93 Ho.upf
CELL_PARAMETERS angstrom
4.694 -7.674 0.000
4.694 7.674 0.000
-1.301 0.000 9.752
ATOMIC_POSITIONS crystal
La 0.094 0.906 0.750
La 0.906 0.094 0.250
Pr 0.468 0.532 0.250
Pr 0.532 0.468 0.750
Nd 0.013 0.797 0.380
Nd 0.064 0.518 0.180
Nd 0.203 0.987 0.120
Nd 0.257 0.609 0.557
Nd 0.391 0.743 0.943
Nd 0.482 0.936 0.320
Nd 0.518 0.064 0.680
Nd 0.609 0.257 0.057
Nd 0.743 0.391 0.443
Nd 0.797 0.013 0.880
Nd 0.936 0.482 0.820
Nd 0.987 0.203 0.620
Ho 0.206 0.303 0.952
Ho 0.303 0.206 0.452
Ho 0.697 0.794 0.548
Ho 0.794 0.697 0.048
! Crystal system: monoclinic
! Fermi-level density of states: 1.456 states/eV/atom
! SG: C2/c (15)
! Uncorrected energy: -0.34076 Ry/atom

---

! YTa2Mn | the Alexandria database | PBE-GGA | optimized geometry; values from VASP
&SYSTEM
  ibrav = 0, nat = 12, ntyp = 3
/
ATOMIC_SPECIES
Y 88.91 Y.upf
Ta 180.95 Ta.upf
Mn 54.94 Mn.upf
CELL_PARAMETERS angstrom
3.130 0.000 0.000
-1.565 2.710 0.000
0.000 0.000 27.079
ATOMIC_POSITIONS crystal
Y 0.000 0.000 0.000
Y 0.333 0.667 0.667
Y 0.667 0.333 0.333
Ta 0.000 0.000 0.517
Ta 0.000 0.000 0.766
Ta 0.333 0.667 0.184
Ta 0.333 0.667 0.433
Ta 0.667 0.333 0.099
Ta 0.667 0.333 0.851
Mn 0.000 0.000 0.248
Mn 0.333 0.667 0.915
Mn 0.667 0.333 0.582
! Crystal system: trigonal
! Fermi-level density of states: 1.191 states/eV/atom
! SG: R3m (160)
! Uncorrected energy: -0.69056 Ry/atom

---

! Ho4Cd5Rh2 | the Alexandria database | PBE-GGA | optimized geometry; values from VASP
&SYSTEM
  ibrav = 0, nat = 11, ntyp = 3
/
ATOMIC_SPECIES
Ho 164.93 Ho.upf
Cd 112.41 Cd.upf
Rh 102.91 Rh.upf
CELL_PARAMETERS angstrom
7.715 0.000 0.000
0.000 3.594 0.000
-0.656 0.000 9.486
ATOMIC_POSITIONS crystal
Ho 0.170 0.000 0.351
Ho 0.213 0.000 0.944
Ho 0.787 0.000 0.056
Ho 0.830 0.000 0.649
Cd 0.186 0.500 0.651
Cd 0.455 0.500 0.172
Cd 0.500 0.500 0.500
Cd 0.545 0.500 0.828
Cd 0.814 0.500 0.349
Rh 0.077 0.500 0.144
Rh 0.923 0.500 0.856
! Crystal system: monoclinic
! Fermi-level density of states: 0.553 states/eV/atom
! SG: P2/m (10)
! Uncorrected energy: -0.28864 Ry/atom

---

! Fe2NiPd | the Alexandria database | PBE-GGA | optimized geometry; values from VASP
&SYSTEM
  ibrav = 0, nat = 16, ntyp = 3
/
ATOMIC_SPECIES
Fe 55.84 Fe.upf
Ni 58.69 Ni.upf
Pd 106.42 Pd.upf
CELL_PARAMETERS angstrom
5.770 0.000 0.000
0.000 5.770 0.000
0.000 0.000 5.770
ATOMIC_POSITIONS crystal
Fe 0.250 0.250 0.250
Fe 0.250 0.250 0.750
Fe 0.250 0.750 0.250
Fe 0.250 0.750 0.750
Fe 0.750 0.250 0.250
Fe 0.750 0.250 0.750
Fe 0.750 0.750 0.250
Fe 0.750 0.750 0.750
Ni 0.000 0.000 0.000
Ni 0.000 0.500 0.500
Ni 0.500 0.000 0.500
Ni 0.500 0.500 0.000
Pd 0.000 0.000 0.500
Pd 0.000 0.500 0.000
Pd 0.500 0.000 0.000
Pd 0.500 0.500 0.500
! Crystal system: cubic
! Fermi-level density of states: 2.568 states/eV/atom
! SG: Fm-3m (225)
! Uncorrected energy: -0.47407 Ry/atom

---

! BaSrAlZn | the Alexandria database | PBE-GGA | optimized geometry; values from VASP
&SYSTEM
  ibrav = 0, nat = 8, ntyp = 4
/
ATOMIC_SPECIES
Ba 137.33 Ba.upf
Sr 87.62 Sr.upf
Al 26.98 Al.upf
Zn 65.41 Zn.upf
CELL_PARAMETERS angstrom
7.898 0.000 0.000
0.000 4.562 0.000
-2.644 0.000 8.514
ATOMIC_POSITIONS crystal
Ba 0.000 0.000 0.000
Ba 0.500 0.500 0.000
Sr 0.324 0.500 0.473
Sr 0.824 0.000 0.473
Al 0.241 0.000 0.723
Al 0.741 0.500 0.723
Zn 0.073 0.500 0.719
Zn 0.573 0.000 0.719
! Crystal system: monoclinic
! Fermi-level density of states: 1.341 states/eV/atom
! SG: Cm (8)
! Uncorrected energy: -0.17084 Ry/atom

---

! Pm3Ho2Cd | the Alexandria database | PBE-GGA | optimized geometry; values from VASP
&SYSTEM
  ibrav = 0, nat = 6, ntyp = 3
/
ATOMIC_SPECIES
Pm 145.00 Pm.upf
Ho 164.93 Ho.upf
Cd 112.41 Cd.upf
CELL_PARAMETERS angstrom
3.624 0.000 0.000
0.000 3.624 0.000
0.000 0.000 14.265
ATOMIC_POSITIONS crystal
Pm 0.000 0.000 0.000
Pm 0.000 0.000 0.351
Pm 0.000 0.000 0.649
Ho 0.500 0.500 0.175
Ho 0.500 0.500 0.825
Cd 0.500 0.500 0.500
! Crystal system: tetragonal
! Fermi-level density of states: 1.311 states/eV/atom
! SG: P4/mmm (123)
! Uncorrected energy: -0.30433 Ry/atom

---

! LiTaCu2 | the Alexandria database | PBE-GGA | optimized geometry; values from VASP
&SYSTEM
  ibrav = 0, nat = 8, ntyp = 3
/
ATOMIC_SPECIES
Li 6.94 Li.upf
Ta 180.95 Ta.upf
Cu 63.55 Cu.upf
CELL_PARAMETERS angstrom
8.515 0.000 0.000
0.000 2.565 0.000
-0.550 0.000 5.246
ATOMIC_POSITIONS crystal
Li 0.000 0.000 0.000
Li 0.500 0.500 0.000
Ta 0.000 0.500 0.500
Ta 0.500 0.000 0.500
Cu 0.249 0.000 0.767
Cu 0.251 0.500 0.233
Cu 0.749 0.500 0.767
Cu 0.751 0.000 0.233
! Crystal system: monoclinic
! Fermi-level density of states: 0.452 states/eV/atom
! SG: C2/m (12)
! Uncorrected energy: -0.38274 Ry/atom

---

! Sn3GePd | the Alexandria database | PBE-GGA | optimized geometry; values from VASP
&SYSTEM
  ibrav = 0, nat = 5, ntyp = 3
/
ATOMIC_SPECIES
Sn 118.71 Sn.upf
Ge 72.64 Ge.upf
Pd 106.42 Pd.upf
CELL_PARAMETERS angstrom
5.190 0.000 0.000
0.000 5.190 0.000
0.000 0.000 5.190
ATOMIC_POSITIONS crystal
Sn 0.000 0.000 0.500
Sn 0.000 0.500 0.000
Sn 0.500 0.000 0.000
Ge 0.500 0.500 0.500
Pd 0.000 0.000 0.000
! Crystal system: cubic
! Fermi-level density of states: 0.342 states/eV/atom
! SG: Pm-3m (221)
! Uncorrected energy: -0.30341 Ry/atom

---

! La2Nd6Y3Sc | the Alexandria database | PBE-GGA | optimized geometry; values from VASP
&SYSTEM
  ibrav = 0, nat = 12, ntyp = 4
/
ATOMIC_SPECIES
La 138.91 La.upf
Nd 144.24 Nd.upf
Y 88.91 Y.upf
Sc 44.96 Sc.upf
CELL_PARAMETERS angstrom
3.146 -5.453 0.000
3.146 5.453 0.000
-2.113 0.000 11.806
ATOMIC_POSITIONS crystal
La 0.167 0.833 0.000
La 0.833 0.167 0.000
Nd 0.088 0.417 0.749
Nd 0.253 0.253 0.252
Nd 0.417 0.088 0.749
Nd 0.583 0.912 0.251
Nd 0.747 0.747 0.748
Nd 0.912 0.583 0.251
Y 0.000 0.000 0.500
Y 0.334 0.666 0.500
Y 0.666 0.334 0.500
Sc 0.500 0.500 0.000
! Crystal system: monoclinic
! Fermi-level density of states: 1.431 states/eV/atom
! SG: C2/m (12)
! Uncorrected energy: -0.39116 Ry/atom

---

! KTl2Cl7 | the Alexandria database | PBE-GGA | optimized geometry; values from VASP
&SYSTEM
  ibrav = 0, nat = 10, ntyp = 3
/
ATOMIC_SPECIES
K 39.10 K.upf
Tl 204.38 Tl.upf
Cl 35.45 Cl.upf
CELL_PARAMETERS angstrom
4.236 -6.854 0.000
4.236 6.854 0.000
0.000 0.000 5.239
ATOMIC_POSITIONS crystal
K 0.000 0.000 0.000
Tl 0.300 0.700 0.500
Tl 0.700 0.300 0.500
Cl 0.054 0.324 0.500
Cl 0.277 0.723 0.000
Cl 0.324 0.054 0.500
Cl 0.500 0.500 0.500
Cl 0.676 0.946 0.500
Cl 0.723 0.277 0.000
Cl 0.946 0.676 0.500
! Formation energy without anion corrections: -77.3 kJ/mol of atoms
! Crystal system: orthorhombic
! Fermi-level density of states: 0.177 states/eV/atom
! SG: Cmmm (65)